DFT (PBE) results for crystalline HoInIrRh at its relaxed geometry.

Properties
Space-group type = Pmmm (47)
Formation enthalpy at 0 K = -259 kJ/mol of formula units
ΔE to the lowest computed polymorph = 0.000 eV/f.u.
Total magnetic moment = 0.0 μB/f.u.

abc: 3.588 4.510 4.493
angles: 90.00 90.00 90.00
Atoms (fractional coordinates):
Rh 0.000 0.500 0.500
In 0.500 0.500 0.000
Ir 0.000 0.000 0.000
Ho 0.500 0.000 0.500

=====

DFT (PBE) results for crystalline HoInIrRh at its relaxed geometry.

Properties
Space-group type = F-43m (216)
Formation enthalpy at 0 K = -252 kJ/mol of formula units
ΔE to the lowest computed polymorph = 0.065 eV/f.u.
Total magnetic moment = 0.0 μB/f.u.

abc: 4.695 4.695 4.695
angles: 60.00 60.00 60.00
Atoms (fractional coordinates):
Rh 0.000 0.000 0.000
Ir 0.500 0.500 0.500
Ho 0.750 0.750 0.750
In 0.250 0.250 0.250